The following is a DFT calculation (GGA-PBE) of crystalline LiC2O2 at its relaxed geometry.

Values from the calculation:
The value obtained for the total energy is -7.127 eV/atom. Its energy relative to the elements, uncorrected is -1.0711 eV per atom. For the theoretical density, the calculation gives 1.8 g cm⁻³. The value obtained for the density of states at the Fermi level is 0.00 states/eV per cell. As for the crystal system: monoclinic.

```
data_LiC2O2
_chemical_formula_sum 'Li4 C8 O8'
_symmetry_space_group_name_H-M 'C 1 2/m 1'
_symmetry_Int_Tables_number 12
_cell_length_a 7.336
_cell_length_b 9.650
_cell_length_c 3.381
_cell_angle_alpha 90.00
_cell_angle_beta 103.37
_cell_angle_gamma 90.00
loop_
_symmetry_equiv_pos_as_xyz
'x,y,z'
'-x,-y,-z'
'-x,y,-z'
'x,-y,z'
'x+1/2,y+1/2,z'
'-x+1/2,-y+1/2,-z'
'-x+1/2,y+1/2,-z'
'x+1/2,-y+1/2,z'
loop_
_atom_site_label
_atom_site_fract_x
_atom_site_fract_y
_atom_site_fract_z
_atom_site_occupancy
Li1 0.000 0.148 0.000 1
C1 0.000 0.392 0.500 1
C2 0.139 0.500 0.665 1
O1 0.000 0.261 0.500 1
O2 0.192 0.000 0.138 1
```